A relaxed Li4Mg7Ga crystal, computed with PBE.

Cell and atoms, written as POSCAR:
```
Li4Mg7Ga
1.0
5.178 0.000 0.000
2.589 7.604 1.235
2.589 1.529 6.899
Mg Ga Li
7 1 4
Direct
0.080 0.572 0.267 Mg
0.228 0.748 0.796 Mg
0.772 0.252 0.204 Mg
0.192 0.133 0.484 Mg
0.808 0.867 0.516 Mg
0.920 0.428 0.733 Mg
0.500 0.000 0.000 Mg
0.000 0.000 0.000 Ga
0.323 0.366 0.989 Li
0.677 0.634 0.011 Li
0.440 0.699 0.421 Li
0.560 0.301 0.579 Li
```

- Formation energy from the elements: 0.040 eV per atom

=====

A relaxed Pr5In2Si crystal, computed with PBE.

Cell and atoms, written as POSCAR:
```
Pr5In2Si
1.0
-3.437 1.492 3.673
-0.692 -6.634 2.048
9.968 1.635 8.663
In Pr Si
4 10 2
Direct
0.500 0.116 0.343 In
0.500 0.884 0.657 In
0.500 0.384 0.843 In
0.500 0.616 0.157 In
0.000 0.500 0.000 Pr
0.000 0.627 0.716 Pr
0.000 0.000 0.500 Pr
0.000 0.127 0.784 Pr
0.000 0.873 0.216 Pr
0.000 0.373 0.284 Pr
0.500 0.830 0.914 Pr
0.500 0.170 0.086 Pr
0.500 0.330 0.586 Pr
0.500 0.670 0.414 Pr
0.000 0.000 0.000 Si
0.000 0.500 0.500 Si
```

- Energy relative to the elements, uncorrected: -0.423 eV/atom

=====

A relaxed HfTcF2 crystal, computed with PBE.

Cell and atoms, written as POSCAR:
```
HfTcF2
1.0
1.036 -2.623 3.651
0.840 -4.535 -0.116
4.089 -1.984 0.794
Tc F Hf
1 2 1
Direct
0.500 0.500 0.500 Tc
0.825 0.825 0.825 F
0.175 0.175 0.175 F
0.000 0.000 0.000 Hf
```

- Energy relative to the lowest polymorph listed for this composition: 398 meV/atom
- Energy relative to the elements, uncorrected: -0.764 eV/atom

=====

A relaxed HfSc2Zn8 crystal, computed with PBE.

Cell and atoms, written as POSCAR:
```
HfSc2Zn8
1.0
4.521 0.003 -1.221
-0.652 5.036 -2.385
-0.284 0.497 7.881
Zn Sc Hf
8 2 1
Direct
0.126 0.895 0.253 Zn
0.874 0.105 0.747 Zn
0.746 0.499 0.000 Zn
0.298 0.814 0.598 Zn
0.121 0.342 0.242 Zn
0.879 0.658 0.758 Zn
0.702 0.186 0.402 Zn
0.254 0.501 0.000 Zn
0.313 0.327 0.625 Sc
0.687 0.673 0.375 Sc
0.500 0.000 0.000 Hf
```

- Formation energy from the elements: -0.219 eV per atom

=====

A relaxed BaCoRu2 crystal, computed with PBE.

Cell and atoms, written as POSCAR:
```
BaCoRu2
1.0
5.565 0.210 -0.046
-2.821 4.801 -0.046
0.652 1.192 2.675
Co Ru Ba
1 2 1
Direct
0.000 0.500 0.500 Co
0.500 0.500 0.000 Ru
0.000 0.000 0.000 Ru
0.500 0.000 0.500 Ba
```

- Energy relative to the lowest polymorph listed for this composition: 825 meV/atom
- Formation energy from the elements: 1.151 eV per atom

=====

A relaxed Nd2AuCl crystal, computed with PBE.

Cell and atoms, written as POSCAR:
```
Nd2AuCl
1.0
4.126 0.000 0.000
2.063 3.573 0.000
2.063 1.191 7.775
Au Nd Cl
1 2 1
Direct
0.668 0.668 0.996 Au
0.076 0.076 0.772 Nd
0.258 0.258 0.225 Nd
0.498 0.498 0.507 Cl
```

- Energy relative to the lowest polymorph listed for this composition: 54 meV/atom
- Energy relative to the elements, uncorrected: -1.025 eV/atom

=====

A relaxed U4IrRh12 crystal, computed with PBE.

Cell and atoms, written as POSCAR:
```
U4IrRh12
1.0
-6.516 0.403 3.024
0.973 -6.584 -2.732
5.036 1.302 4.971
Rh U Ir
12 4 1
Direct
0.297 0.297 0.000 Rh
0.500 0.250 0.750 Rh
0.750 0.500 0.250 Rh
0.750 0.250 0.500 Rh
0.000 0.703 0.703 Rh
0.500 0.750 0.250 Rh
0.000 0.297 0.297 Rh
0.250 0.750 0.500 Rh
0.703 0.000 0.703 Rh
0.297 0.000 0.297 Rh
0.250 0.500 0.750 Rh
0.703 0.703 0.000 Rh
0.000 0.500 0.000 U
0.500 0.500 0.500 U
0.000 0.000 0.500 U
0.500 0.000 0.000 U
0.000 0.000 0.000 Ir
```

- Formation energy from the elements: -0.394 eV per atom

=====

A relaxed LaIn2PN crystal, computed with PBE.

Cell and atoms, written as POSCAR:
```
LaIn2PN
1.0
5.930 0.000 0.000
0.000 3.413 0.000
0.000 0.000 5.930
P La In N
1 1 2 1
Direct
0.000 0.000 0.000 P
0.500 0.500 0.500 La
0.500 0.000 0.000 In
0.000 0.000 0.500 In
0.000 0.500 0.000 N
```

- Energy relative to the elements, uncorrected: 0.303 eV/atom